VASP calculation (GGA-PBE) on LuCoAsPt after structural relaxation.

**Distance to the lowest polymorph of the same formula**: 0 meV per atom
**Space group**: F-43m (216)

Cell lengths 4.5633, 4.5633, 4.5633 Å; angles 60.00, 60.00, 60.00 degrees
Atoms (fractional coordinates):
Lu: 0.0000 0.0000 0.0000
Co: 0.7500 0.7500 0.7500
As: 0.5000 0.5000 0.5000
Pt: 0.2500 0.2500 0.2500